(1)
Entry from Alexandria via LeMat-Bulk: a geometry-optimized BaNa2AgHg2 structure (PBE).

E_form: -0.0870 eV per atom
Final energy: -1.423 eV/atom

Lattice parameters (Å, degrees): 5.876 5.876 7.465 113.18 113.18 90.00
Fractional coordinates of all 6 atoms:
Ba1 0.500 0.500 0.000
Na1 0.750 0.250 0.500
Hg1 0.779 0.779 0.558
Na2 0.250 0.750 0.500
Hg2 0.221 0.221 0.442
Ag1 0.000 0.000 0.000

---

(2)
Entry from Alexandria via LeMat-Bulk: a geometry-optimized BaNb2AgHg structure (PBE).

E_form: 1.3545 eV per atom
Final energy: -3.689 eV/atom

Lattice parameters (Å, degrees): 5.136 6.182 5.136 90.00 90.00 90.00
Fractional coordinates of all 5 atoms:
Ba1 0.000 0.500 0.000
Nb1 0.000 0.000 0.500
Hg1 0.500 0.500 0.500
Nb2 0.500 0.000 0.000
Ag1 0.000 0.000 0.000

---

(3)
Entry from Alexandria via LeMat-Bulk: a geometry-optimized BaNdAgHg structure (PBE).

E_form: -0.2607 eV per atom
Final energy: -2.722 eV/atom

Lattice parameters (Å, degrees): 5.614 5.614 5.614 60.00 60.00 60.00
Fractional coordinates of all 4 atoms:
Ag1 0.000 0.000 0.000
Nd1 0.750 0.750 0.750
Ba1 0.250 0.250 0.250
Hg1 0.500 0.500 0.500

---

(4)
Entry from Alexandria via LeMat-Bulk: a geometry-optimized BaNiAg2Hg structure (PBE).

E_form: -0.0388 eV per atom
Final energy: -2.780 eV/atom

Lattice parameters (Å, degrees): 5.099 5.099 5.028 90.00 90.00 90.00
Fractional coordinates of all 5 atoms:
Ni1 0.000 0.000 0.000
Ba1 0.500 0.500 0.500
Ag1 0.500 0.000 0.000
Ag2 0.000 0.500 0.000
Hg1 0.000 0.000 0.500

---

(5)
Entry from Alexandria via LeMat-Bulk: a geometry-optimized Ba2NiAgHg structure (PBE).

E_form: -0.0981 eV per atom
Final energy: -2.654 eV/atom

Lattice parameters (Å, degrees): 5.922 5.922 4.935 90.00 90.00 90.00
Fractional coordinates of all 5 atoms:
Ni1 0.000 0.000 0.000
Hg1 0.500 0.500 0.500
Ba1 0.000 0.500 0.000
Ag1 0.000 0.000 0.500
Ba2 0.500 0.000 0.000

---

(6)
Entry from Alexandria via LeMat-Bulk: a geometry-optimized BaAg2HgO2 structure (PBE).

Uncorrected formation energy: -0.69 eV/atom
Final energy: -3.664 eV/atom

Lattice parameters (Å, degrees): 6.423 5.999 7.897 114.94 90.00 90.00
Fractional coordinates of all 12 atoms:
O1 0.979 0.742 0.799
Ba1 0.750 0.894 0.109
Ag1 0.250 0.070 0.325
O2 0.021 0.258 0.201
Hg1 0.250 0.627 0.330
O3 0.521 0.742 0.799
Ag2 0.250 0.505 0.658
Hg2 0.750 0.373 0.670
Ag3 0.750 0.930 0.675
Ag4 0.750 0.495 0.342
Ba2 0.250 0.106 0.891
O4 0.479 0.258 0.201

---

(7)
Entry from Alexandria via LeMat-Bulk: a geometry-optimized Ba2AgHgP structure (PBE).

E_form: -0.4654 eV per atom
Final energy: -2.947 eV/atom

Lattice parameters (Å, degrees): 6.273 4.751 6.273 90.00 90.00 90.00
Fractional coordinates of all 5 atoms:
Ag1 0.000 0.500 0.000
Ba1 0.000 0.000 0.500
P1 0.000 0.000 0.000
Hg1 0.500 0.500 0.500
Ba2 0.500 0.000 0.000

---

(8)
Entry from Alexandria via LeMat-Bulk: a geometry-optimized Ba2AgHg3Pb4 structure (PBE).

E_form: -0.3090 eV per atom
Final energy: -2.553 eV/atom

Lattice parameters (Å, degrees): 5.058 5.058 12.533 90.00 90.00 90.00
Fractional coordinates of all 10 atoms:
Ba1 0.000 0.500 0.735
Pb1 0.500 0.500 0.000
Pb2 0.000 0.500 0.375
Hg1 0.000 0.000 0.500
Ag1 0.500 0.500 0.500
Pb3 0.000 0.000 0.000
Hg2 0.500 0.000 0.856
Ba2 0.500 0.000 0.265
Pb4 0.500 0.000 0.625
Hg3 0.000 0.500 0.144

---

(9)
Entry from Alexandria via LeMat-Bulk: a geometry-optimized Ba2Ag3Hg4Pb structure (PBE).

E_form: -0.2745 eV per atom
Final energy: -2.006 eV/atom

Lattice parameters (Å, degrees): 4.773 4.773 12.642 90.00 90.00 90.00
Fractional coordinates of all 10 atoms:
Hg1 0.000 0.000 0.000
Ag1 0.000 0.500 0.132
Hg2 0.500 0.500 0.000
Ag2 0.000 0.000 0.500
Ba1 0.500 0.000 0.242
Hg3 0.000 0.500 0.353
Pb1 0.500 0.500 0.500
Hg4 0.500 0.000 0.647
Ag3 0.500 0.000 0.868
Ba2 0.000 0.500 0.758

---

(10)
Entry from Alexandria via LeMat-Bulk: a geometry-optimized BaAgHgPb structure (PBE).

E_form: -0.2968 eV per atom
Final energy: -2.493 eV/atom

Lattice parameters (Å, degrees): 5.518 5.518 5.518 60.00 60.00 60.00
Fractional coordinates of all 4 atoms:
Pb1 0.500 0.500 0.500
Hg1 0.750 0.750 0.750
Ba1 0.000 0.000 0.000
Ag1 0.250 0.250 0.250

---

(11)
Entry from Alexandria via LeMat-Bulk: a geometry-optimized Ba2AgHgPb6 structure (PBE).

E_form: -0.1469 eV per atom
Final energy: -3.072 eV/atom

Lattice parameters (Å, degrees): 7.628 7.628 14.694 74.96 74.96 60.00
Fractional coordinates of all 20 atoms:
Hg1 0.428 0.428 0.715
Pb1 0.226 0.660 0.889
Pb2 0.075 0.662 0.600
Pb3 0.925 0.338 0.400
Pb4 0.226 0.226 0.889
Pb5 0.338 0.338 0.400
Ag1 0.500 0.500 0.500
Pb6 0.660 0.226 0.889
Pb7 0.662 0.662 0.600
Ba1 0.887 0.887 0.340
Pb8 0.340 0.774 0.111
Ag2 0.000 0.000 0.000
Pb9 0.662 0.075 0.600
Ba2 0.288 0.288 0.137
Pb10 0.774 0.774 0.111
Ba3 0.712 0.712 0.863
Hg2 0.572 0.572 0.285
Pb11 0.338 0.925 0.400
Pb12 0.774 0.340 0.111
Ba4 0.113 0.113 0.660

---

(12)
Entry from Alexandria via LeMat-Bulk: a geometry-optimized BaAgHgPd structure (PBE).

E_form: -0.3664 eV per atom
Final energy: -2.934 eV/atom

Lattice parameters (Å, degrees): 4.842 4.837 6.137 113.24 90.00 120.03
Fractional coordinates of all 4 atoms:
Pd1 0.423 0.846 0.911
Ba1 0.619 0.239 0.500
Hg1 0.104 0.209 0.955
Ag1 0.820 0.639 0.101